1.
A plane-wave DFT calculation with PBEsol was carried out for crystalline TaZnPb at its relaxed geometry.

Summary:
calculated volume	68	Å³ per cell
DFT formation energy	1228	meV/atom
ρ	11.080	g/cm³

Cell lengths 4.581, 4.581, 4.581 Å; angles 60.00, 60.00, 60.00 degrees
Sites, in units of the cell vectors:
Ta (0.000, 0.000, 0.000)
Zn (0.500, 0.500, 0.500)
Pb (0.750, 0.750, 0.750)



2.
A plane-wave DFT calculation with PBEsol was carried out for crystalline CaH12S2O9 at its relaxed geometry.

Summary:
calculated volume	431	Å³ per cell
DFT total energy	-5.31	eV per atom
ρ	2.007	g/cm³

Cell lengths 5.724, 7.404, 10.811 Å; angles 72.06, 81.12, 87.98 degrees
Sites, in units of the cell vectors:
Ca (0.090, 0.382, 0.262)
Ca (0.910, 0.618, 0.738)
H (0.021, 0.219, 0.902)
H (0.028, 0.047, 0.616)
H (0.072, 0.332, 0.552)
H (0.133, 0.972, 0.750)
H (0.177, 0.736, 0.471)
H (0.191, 0.673, 0.932)
H (0.256, 0.781, 0.105)
H (0.296, 0.419, 0.983)
H (0.348, 0.205, 0.066)
H (0.364, 0.679, 0.798)
H (0.446, 0.058, 0.352)
H (0.465, 0.217, 0.420)
H (0.535, 0.783, 0.580)
H (0.554, 0.942, 0.648)
H (0.636, 0.321, 0.202)
H (0.652, 0.795, 0.934)
H (0.704, 0.581, 0.017)
H (0.744, 0.219, 0.895)
H (0.809, 0.327, 0.068)
H (0.823, 0.264, 0.529)
H (0.867, 0.028, 0.250)
H (0.928, 0.668, 0.448)
H (0.972, 0.953, 0.384)
H (0.979, 0.781, 0.098)
S (0.379, 0.098, 0.858)
S (0.445, 0.301, 0.682)
S (0.555, 0.699, 0.318)
S (0.621, 0.902, 0.142)
O (0.003, 0.738, 0.498)
O (0.033, 0.934, 0.695)
O (0.129, 0.711, 0.086)
O (0.225, 0.407, 0.653)
O (0.227, 0.609, 0.862)
O (0.301, 0.330, 0.074)
O (0.364, 0.572, 0.317)
O (0.437, 0.198, 0.336)
O (0.476, 0.798, 0.419)
O (0.524, 0.202, 0.581)
O (0.563, 0.802, 0.664)
O (0.636, 0.428, 0.683)
O (0.699, 0.670, 0.926)
O (0.773, 0.391, 0.138)
O (0.775, 0.593, 0.347)
O (0.871, 0.289, 0.914)
O (0.967, 0.066, 0.305)
O (0.997, 0.262, 0.502)



3.
A plane-wave DFT calculation with PBEsol was carried out for crystalline LiCuCl2 at its relaxed geometry.

Summary:
E_form (uncorrected)	-1.05	eV/atom
calculated volume	80	Å³ per cell
ρ	2.920	g/cm³

Cell lengths 7.169, 7.169, 7.169 Å; angles 29.76, 29.76, 29.76 degrees
Sites, in units of the cell vectors:
Li (0.000, 0.000, 0.000)
Cu (0.500, 0.500, 0.500)
Cl (0.398, 0.398, 0.398)
Cl (0.602, 0.602, 0.602)



4.
A plane-wave DFT calculation with PBEsol was carried out for crystalline TaRuW at its relaxed geometry.

Summary:
calculated volume	47	Å³ per cell
DFT formation energy	16	meV/atom
ρ	16.519	g/cm³
energy relative to the lowest polymorph listed for this composition	0	meV per atom

Cell lengths 5.203, 5.203, 5.203 Å; angles 144.68, 144.68, 50.81 degrees
Sites, in units of the cell vectors:
Ta (0.000, 0.000, 0.000)
Ru (0.334, 0.334, 0.000)
W (0.667, 0.667, 0.000)



5.
A plane-wave DFT calculation with PBEsol was carried out for crystalline Ta2CrAg at its relaxed geometry.

Summary:
calculated volume	63	Å³ per cell
DFT formation energy	337	meV/atom
ρ	13.729	g/cm³
energy relative to the lowest polymorph listed for this composition	54	meV per atom

Cell lengths 4.967, 4.967, 4.967 Å; angles 139.20, 126.62, 69.29 degrees
Sites, in units of the cell vectors:
Ta (0.230, 0.230, 0.000)
Ta (0.770, 0.770, 0.000)
Cr (0.000, 0.500, 0.500)
Ag (0.500, 0.000, 0.500)



6.
A plane-wave DFT calculation with PBEsol was carried out for crystalline Zr6Co16Si7 at its relaxed geometry.

Summary:
E_form (uncorrected)	-0.75	eV/atom
calculated volume	356	Å³ per cell
ρ	7.861	g/cm³

Cell lengths 7.958, 7.958, 7.958 Å; angles 60.00, 60.00, 60.00 degrees
Sites, in units of the cell vectors:
Zr (0.206, 0.206, 0.794)
Zr (0.206, 0.794, 0.206)
Zr (0.206, 0.794, 0.794)
Zr (0.794, 0.206, 0.206)
Zr (0.794, 0.206, 0.794)
Zr (0.794, 0.794, 0.206)
Co (0.139, 0.620, 0.620)
Co (0.171, 0.171, 0.171)
Co (0.171, 0.171, 0.486)
Co (0.171, 0.486, 0.171)
Co (0.380, 0.380, 0.380)
Co (0.380, 0.380, 0.861)
Co (0.380, 0.861, 0.380)
Co (0.486, 0.171, 0.171)
Co (0.514, 0.829, 0.829)
Co (0.620, 0.139, 0.620)
Co (0.620, 0.620, 0.139)
Co (0.620, 0.620, 0.620)
Co (0.829, 0.514, 0.829)
Co (0.829, 0.829, 0.514)
Co (0.829, 0.829, 0.829)
Co (0.861, 0.380, 0.380)
Si (0.000, 0.000, 0.500)
Si (0.000, 0.500, 0.000)
Si (0.000, 0.500, 0.500)
Si (0.500, 0.000, 0.000)
Si (0.500, 0.000, 0.500)
Si (0.500, 0.500, 0.000)
Si (0.500, 0.500, 0.500)